[1]
# Th2Si3Tc2 | the Alexandria database | GGA-PBE | relaxed
data_Th2Si3Tc2
_chemical_formula_sum 'Th4 Si6 Tc4'
_cell_length_a 9.472
_cell_length_b 9.472
_cell_length_c 6.778
_cell_angle_alpha 90.00
_cell_angle_beta 90.00
_cell_angle_gamma 153.83
_symmetry_space_group_name_H-M 'P 1'
_symmetry_Int_Tables_number 1
loop_
_symmetry_equiv_pos_as_xyz
'x,y,z'
loop_
_atom_site_label
_atom_site_type_symbol
_atom_site_fract_x
_atom_site_fract_y
_atom_site_fract_z
Th1 Th 0.050 0.950 0.750
Th2 Th 0.161 0.839 0.250
Th3 Th 0.839 0.161 0.750
Th4 Th 0.950 0.050 0.250
Si1 Si 0.216 0.784 0.750
Si2 Si 0.439 0.561 0.568
Si3 Si 0.439 0.561 0.932
Si4 Si 0.561 0.439 0.068
Si5 Si 0.561 0.439 0.432
Si6 Si 0.784 0.216 0.250
Tc1 Tc 0.309 0.691 0.048
Tc2 Tc 0.309 0.691 0.452
Tc3 Tc 0.691 0.309 0.548
Tc4 Tc 0.691 0.309 0.952
# N(E_F) ... 13.4 states/eV per cell
# Formation energy without anion corrections ... -0.59 eV per atom
# ρ ... 9.22 g/cm³
# V ... 268.2 Å³/cell
# M_tot ... 0.000 μB/f.u.
# Final energy ... -7.996 eV/atom

---

[2]
# Th2SiTc | the Alexandria database | GGA-PBE | relaxed
data_Th2SiTc
_chemical_formula_sum 'Th2 Si1 Tc1'
_cell_length_a 10.016
_cell_length_b 10.016
_cell_length_c 10.016
_cell_angle_alpha 19.45
_cell_angle_beta 19.45
_cell_angle_gamma 19.45
_symmetry_space_group_name_H-M 'P 1'
_symmetry_Int_Tables_number 1
loop_
_symmetry_equiv_pos_as_xyz
'x,y,z'
loop_
_atom_site_label
_atom_site_type_symbol
_atom_site_fract_x
_atom_site_fract_y
_atom_site_fract_z
Th1 Th 0.086 0.086 0.086
Th2 Th 0.914 0.914 0.914
Si1 Si 0.500 0.500 0.500
Tc1 Tc 0.000 0.000 0.000
# N(E_F) ... 4.6 states/eV per cell
# Formation energy without anion corrections ... 0.43 eV per atom
# ρ ... 10.06 g/cm³
# V ... 97.4 Å³/cell
# M_tot ... 0.000 μB/f.u.
# Final energy ... -7.232 eV/atom

---

[3]
# Th3Si7Tc | the Alexandria database | GGA-PBE | relaxed
data_Th3Si7Tc
_chemical_formula_sum 'Th6 Si14 Tc2'
_cell_length_a 9.921
_cell_length_b 9.921
_cell_length_c 10.881
_cell_angle_alpha 90.00
_cell_angle_beta 90.00
_cell_angle_gamma 156.29
_symmetry_space_group_name_H-M 'P 1'
_symmetry_Int_Tables_number 1
loop_
_symmetry_equiv_pos_as_xyz
'x,y,z'
loop_
_atom_site_label
_atom_site_type_symbol
_atom_site_fract_x
_atom_site_fract_y
_atom_site_fract_z
Th1 Th 0.109 0.891 0.555
Th2 Th 0.109 0.891 0.945
Th3 Th 0.235 0.765 0.250
Th4 Th 0.765 0.235 0.750
Th5 Th 0.891 0.109 0.055
Th6 Th 0.891 0.109 0.445
Si1 Si 0.270 0.730 0.537
Si2 Si 0.270 0.730 0.963
Si3 Si 0.375 0.625 0.644
Si4 Si 0.375 0.625 0.856
Si5 Si 0.387 0.613 0.250
Si6 Si 0.498 0.502 0.627
Si7 Si 0.498 0.502 0.873
Si8 Si 0.502 0.498 0.127
Si9 Si 0.502 0.498 0.373
Si10 Si 0.613 0.387 0.750
Si11 Si 0.625 0.375 0.144
Si12 Si 0.625 0.375 0.356
Si13 Si 0.730 0.270 0.037
Si14 Si 0.730 0.270 0.463
Tc1 Tc 0.060 0.940 0.250
Tc2 Tc 0.940 0.060 0.750
# N(E_F) ... 12.5 states/eV per cell
# Formation energy without anion corrections ... -0.47 eV per atom
# ρ ... 7.64 g/cm³
# V ... 430.6 Å³/cell
# M_tot ... 0.000 μB/f.u.
# Final energy ... -6.890 eV/atom

---

[4]
# Th3SiTc | the Alexandria database | GGA-PBE | relaxed
data_Th3SiTc
_chemical_formula_sum 'Th6 Si2 Tc2'
_cell_length_a 8.402
_cell_length_b 3.841
_cell_length_c 8.541
_cell_angle_alpha 90.00
_cell_angle_beta 112.78
_cell_angle_gamma 90.00
_symmetry_space_group_name_H-M 'P 1'
_symmetry_Int_Tables_number 1
loop_
_symmetry_equiv_pos_as_xyz
'x,y,z'
loop_
_atom_site_label
_atom_site_type_symbol
_atom_site_fract_x
_atom_site_fract_y
_atom_site_fract_z
Th1 Th 0.076 0.250 0.211
Th2 Th 0.322 0.250 0.951
Th3 Th 0.371 0.750 0.600
Th4 Th 0.629 0.250 0.400
Th5 Th 0.678 0.750 0.049
Th6 Th 0.924 0.750 0.789
Si1 Si 0.067 0.250 0.585
Si2 Si 0.933 0.750 0.415
Tc1 Tc 0.342 0.750 0.217
Tc2 Tc 0.658 0.250 0.783
# N(E_F) ... 10.1 states/eV per cell
# Formation energy without anion corrections ... -0.32 eV per atom
# ρ ... 10.74 g/cm³
# V ... 254.2 Å³/cell
# M_tot ... 0.000 μB/f.u.
# Final energy ... -7.930 eV/atom

---

[5]
# Th4Si2Tc | the Alexandria database | GGA-PBE | relaxed
data_Th4Si2Tc
_chemical_formula_sum 'Th8 Si4 Tc2'
_cell_length_a 7.981
_cell_length_b 7.981
_cell_length_c 7.981
_cell_angle_alpha 110.84
_cell_angle_beta 110.74
_cell_angle_gamma 106.87
_symmetry_space_group_name_H-M 'P 1'
_symmetry_Int_Tables_number 1
loop_
_symmetry_equiv_pos_as_xyz
'x,y,z'
loop_
_atom_site_label
_atom_site_type_symbol
_atom_site_fract_x
_atom_site_fract_y
_atom_site_fract_z
Th1 Th 0.192 0.240 0.548
Th2 Th 0.192 0.645 0.952
Th3 Th 0.240 0.192 0.048
Th4 Th 0.355 0.808 0.548
Th5 Th 0.645 0.192 0.452
Th6 Th 0.760 0.808 0.952
Th7 Th 0.808 0.355 0.048
Th8 Th 0.808 0.760 0.452
Si1 Si 0.000 0.500 0.500
Si2 Si 0.500 0.000 0.000
Si3 Si 0.500 0.500 0.000
Si4 Si 0.500 0.500 0.500
Tc1 Tc 0.125 0.875 0.250
Tc2 Tc 0.875 0.125 0.750
# N(E_F) ... 13.1 states/eV per cell
# Formation energy without anion corrections ... -0.27 eV per atom
# ρ ... 9.20 g/cm³
# V ... 390.7 Å³/cell
# M_tot ... 0.000 μB/f.u.
# Final energy ... -7.544 eV/atom

---

[6]
# Th4Si3Tc | the Alexandria database | GGA-PBE | relaxed
data_Th4Si3Tc
_chemical_formula_sum 'Th4 Si3 Tc1'
_cell_length_a 4.092
_cell_length_b 4.283
_cell_length_c 10.976
_cell_angle_alpha 90.00
_cell_angle_beta 90.00
_cell_angle_gamma 90.00
_symmetry_space_group_name_H-M 'P 1'
_symmetry_Int_Tables_number 1
loop_
_symmetry_equiv_pos_as_xyz
'x,y,z'
loop_
_atom_site_label
_atom_site_type_symbol
_atom_site_fract_x
_atom_site_fract_y
_atom_site_fract_z
Th1 Th 0.000 0.000 0.000
Th2 Th 0.000 0.500 0.494
Th3 Th 0.500 0.000 0.274
Th4 Th 0.500 0.500 0.779
Si1 Si 0.000 0.000 0.706
Si2 Si 0.000 0.500 0.205
Si3 Si 0.500 0.000 0.559
Tc1 Tc 0.500 0.500 0.055
# N(E_F) ... 6.9 states/eV per cell
# Formation energy without anion corrections ... -0.57 eV per atom
# ρ ... 9.59 g/cm³
# V ... 192.4 Å³/cell
# M_tot ... 0.000 μB/f.u.
# Final energy ... -7.607 eV/atom